Entry 1:
Compound: ZnCrW2
Source: Alexandria
Functional: PBE
Structure: relaxed

Properties
DFT total energy = -8.82 eV per atom
Fermi-level density of states = 0.729 states/eV/atom
SG = P4mm, No. 99
magnetization = 2.7 μB per formula unit

Cell: 2.720 2.720 8.175 Å, 90.00 90.00 90.00°
Last column: magnetic moment on the atom in μB.
Atoms (fractional coordinates):
Cr: 0.500 0.500 0.745  2.40
W: 0.000 0.000 0.983  0.05
W: 0.500 0.500 0.261  0.04
Zn: 0.000 0.000 0.511  0.00


Entry 2:
Compound: RbNa2CaTl
Source: Alexandria
Functional: PBE
Structure: relaxed

Properties
DFT total energy = -1.57 eV per atom
Fermi-level density of states = 0.793 states/eV/atom
SG = P4/mmm, No. 123
magnetization = 0.0 μB per formula unit

Cell: 6.229 6.229 6.105 Å, 90.00 90.00 90.00°
Atoms (fractional coordinates):
Na: 0.000 0.500 0.000
Na: 0.500 0.000 0.000
Tl: 0.000 0.000 0.000
Ca: 0.000 0.000 0.500
Rb: 0.500 0.500 0.500


Entry 3:
Compound: BaPd
Source: Alexandria
Functional: PBE
Structure: relaxed

Properties
DFT total energy = -3.99 eV per atom
Fermi-level density of states = 0.495 states/eV/atom
SG = P6_3/mmc, No. 194
magnetization = 0.0 μB per formula unit

Cell: 9.757 9.757 4.879 Å, 90.00 90.00 120.00°
Atoms (fractional coordinates):
Ba: 0.805 0.609 0.250
Ba: 0.195 0.805 0.750
Ba: 0.391 0.195 0.250
Ba: 0.195 0.391 0.750
Ba: 0.805 0.195 0.250
Ba: 0.609 0.805 0.750
Pd: 0.431 0.863 0.250
Pd: 0.569 0.431 0.750
Pd: 0.137 0.569 0.250
Pd: 0.569 0.137 0.750
Pd: 0.431 0.569 0.250
Pd: 0.863 0.431 0.750


Entry 4:
Compound: PuMg3Cd9
Source: Alexandria
Functional: PBE
Structure: relaxed

Properties
DFT total energy = -2.17 eV per atom
Fermi-level density of states = 1.564 states/eV/atom
SG = C2/m, No. 12
magnetization = 6.0 μB per formula unit

Cell: 5.967 7.645 7.657 Å, 81.14 67.07 66.72°
Last column: magnetic moment on the atom in μB.
Atoms (fractional coordinates):
Pu: 0.000 0.000 0.000  5.53
Mg: 0.500 0.500 0.000  0.00
Mg: 0.000 0.000 0.500  0.00
Mg: 0.500 0.000 0.500  0.00
Cd: 0.708 0.787 0.785  0.00
Cd: 0.292 0.213 0.215  0.00
Cd: 0.506 0.213 0.785  0.00
Cd: 0.494 0.787 0.215  0.00
Cd: 0.649 0.345 0.349  0.00
Cd: 0.351 0.655 0.651  0.00
Cd: 0.002 0.655 0.349  0.00
Cd: 0.998 0.345 0.651  0.00
Cd: 0.000 0.500 0.000  0.00


For reference, energy of formation by record: 36.9; 2.1; -42.0; -6.7 kJ per mole of atoms.